# 1
! Cu3IO (PBEsol, relaxed); values from VASP
&SYSTEM
  ibrav = 0, nat = 5, ntyp = 3
/
ATOMIC_SPECIES
O 16.00 O.upf
Cu 63.55 Cu.upf
I 126.90 I.upf
CELL_PARAMETERS angstrom
-0.905 1.389 4.400
3.015 -3.217 1.636
3.494 3.136 -0.272
ATOMIC_POSITIONS angstrom
O 2.802 0.654 2.882
Cu 1.507 -1.608 0.818
Cu -0.452 0.695 2.200
Cu 1.747 1.568 -0.136
I 0.000 0.000 0.000
! uncorrected formation energy: 1.3585 eV per atom
! D(E_F): 2.295 states/eV per cell



# 2
! CuI2O6 (PBEsol, relaxed); values from VASP
&SYSTEM
  ibrav = 0, nat = 18, ntyp = 3
/
ATOMIC_SPECIES
Cu 63.55 Cu.upf
I 126.90 I.upf
O 16.00 O.upf
CELL_PARAMETERS angstrom
4.951 0.000 0.023
0.000 6.115 0.000
-0.287 0.000 8.120
ATOMIC_POSITIONS angstrom
Cu 2.332 0.000 4.071
Cu 2.332 3.057 4.071
I 0.093 4.586 1.860
I 2.521 1.529 1.270
I 2.144 4.586 6.873
I 4.572 1.529 6.283
O 3.877 4.586 3.251
O 1.237 3.212 2.471
O 1.587 4.586 5.038
O 0.788 1.529 4.892
O 3.428 2.903 5.672
O 0.985 5.936 7.370
O 3.680 2.879 0.773
O 0.985 3.236 7.370
O 3.428 0.154 5.672
O 3.680 0.179 0.773
O 1.237 5.961 2.471
O 3.078 1.529 3.105
! uncorrected formation energy: -0.3833 eV per atom



# 3
! CuI2O6 (PBEsol, relaxed); values from VASP
&SYSTEM
  ibrav = 0, nat = 18, ntyp = 3
/
ATOMIC_SPECIES
I 126.90 I.upf
O 16.00 O.upf
Cu 63.55 Cu.upf
CELL_PARAMETERS angstrom
-4.319 1.617 -1.761
-1.241 -5.129 -1.666
-3.669 -0.644 8.405
ATOMIC_POSITIONS angstrom
I -8.591 -2.771 4.863
I -5.998 -0.021 1.234
I -5.152 -3.417 2.961
I -2.686 -0.618 -0.720
O -4.137 -1.655 -0.175
O -4.107 -2.871 5.555
O -5.503 -1.620 3.007
O -2.097 -0.310 1.723
O -5.281 -3.749 1.144
O -6.857 -1.278 5.878
O -3.487 0.972 -0.288
O -5.338 -5.279 5.430
O -2.866 -2.858 2.322
O -2.691 -0.879 4.347
O -1.988 -3.022 -0.744
O -6.929 -3.923 3.338
Cu -6.914 -0.131 4.313
Cu -3.654 -3.524 0.119
! uncorrected formation energy: -0.3767 eV per atom



# 4
! Cu3IO (PBEsol, relaxed); values from VASP
&SYSTEM
  ibrav = 0, nat = 5, ntyp = 3
/
ATOMIC_SPECIES
I 126.90 I.upf
Cu 63.55 Cu.upf
O 16.00 O.upf
CELL_PARAMETERS angstrom
-1.622 -3.712 -0.850
0.171 -0.994 4.014
-3.804 1.538 0.543
ATOMIC_POSITIONS angstrom
I -2.628 -1.584 1.853
Cu -1.902 0.769 0.272
Cu 0.086 -0.497 2.007
Cu -0.811 -1.856 -0.425
O 0.000 0.000 0.000
! uncorrected formation energy: 0.0388 eV per atom
! D(E_F): 1.766 states/eV per cell



Repeat the third record exactly.
! CuI2O6 (PBEsol, relaxed); values from VASP
&SYSTEM
  ibrav = 0, nat = 18, ntyp = 3
/
ATOMIC_SPECIES
I 126.90 I.upf
O 16.00 O.upf
Cu 63.55 Cu.upf
CELL_PARAMETERS angstrom
-4.319 1.617 -1.761
-1.241 -5.129 -1.666
-3.669 -0.644 8.405
ATOMIC_POSITIONS angstrom
I -8.591 -2.771 4.863
I -5.998 -0.021 1.234
I -5.152 -3.417 2.961
I -2.686 -0.618 -0.720
O -4.137 -1.655 -0.175
O -4.107 -2.871 5.555
O -5.503 -1.620 3.007
O -2.097 -0.310 1.723
O -5.281 -3.749 1.144
O -6.857 -1.278 5.878
O -3.487 0.972 -0.288
O -5.338 -5.279 5.430
O -2.866 -2.858 2.322
O -2.691 -0.879 4.347
O -1.988 -3.022 -0.744
O -6.929 -3.923 3.338
Cu -6.914 -0.131 4.313
Cu -3.654 -3.524 0.119
! uncorrected formation energy: -0.3767 eV per atom